(1)
# ReCN

A geometry-optimized ReCN structure (GGA-PBE, the Open Quantum Materials Database).

Cell: 3.0077 3.0077 5.8925 Å, 90.00 90.00 90.00°
Atoms (fractional coordinates):
Re 0.2500 0.2500 0.2469
Re 0.7500 0.7500 0.7531
C 0.2500 0.7500 0.5000
C 0.7500 0.2500 0.5000
N 0.2500 0.2500 0.8746
N 0.7500 0.7500 0.1254

As for the spin magnetization: 0.00 Bohr magnetons per cell.


(2)
# RbNaEr

A geometry-optimized RbNaEr structure (GGA-PBE, the Open Quantum Materials Database).

Cell: 8.5223 8.5223 8.5223 Å, 90.00 90.00 90.00°
Atoms (fractional coordinates):
Rb 0.0000 0.0000 0.0000
Rb 0.0000 0.5000 0.5000
Rb 0.5000 0.0000 0.5000
Rb 0.5000 0.5000 0.0000
Na 0.2500 0.2500 0.2500
Na 0.2500 0.7500 0.7500
Na 0.7500 0.2500 0.7500
Na 0.7500 0.7500 0.2500
Er 0.2500 0.2500 0.7500
Er 0.2500 0.7500 0.2500
Er 0.7500 0.2500 0.2500
Er 0.7500 0.7500 0.7500

As for the spin magnetization: 1.56 Bohr magnetons per cell.


(3)
# K3NaAg2P2

A geometry-optimized K3NaAg2P2 structure (GGA-PBE, the Open Quantum Materials Database).

Cell: 5.9063 6.1620 6.1766 Å, 77.38 89.93 89.95°
Atoms (fractional coordinates):
K 0.0000 0.0000 0.0000
K 0.0010 0.3547 0.3326
K 0.5001 0.2774 0.7145
Na 0.5014 0.6518 0.0419
Ag 0.2497 0.8062 0.5325
Ag 0.7497 0.8063 0.5320
P 0.4997 0.0442 0.2613
P 0.9994 0.5558 0.7931


(4)
# NaSrLuSe3

A geometry-optimized NaSrLuSe3 structure (GGA-PBE, the Open Quantum Materials Database).

Cell: 7.8713 4.1986 10.2010 Å, 90.00 107.84 90.00°
Atoms (fractional coordinates):
Na 0.0941 0.2500 0.0875
Na 0.9059 0.7500 0.9125
Sr 0.2791 0.2500 0.7983
Sr 0.7209 0.7500 0.2017
Lu 0.3058 0.7500 0.3540
Lu 0.6942 0.2500 0.6460
Se 0.0621 0.2500 0.3438
Se 0.2948 0.7500 0.0483
Se 0.4428 0.7500 0.6378
Se 0.5572 0.2500 0.3622
Se 0.7052 0.2500 0.9517
Se 0.9379 0.7500 0.6562

As for the spin magnetization: 0.02 Bohr magnetons per cell.


Record-wise energy values, in eV/atom: -8.925, -1.190, -2.969, -4.612